A relaxed structure of RbSmBeSe3. Source: Alexandria, functional PBE.

Calculated values
- energy relative to the elements, uncorrected (kcal/mol of atoms) = -31.9
- total moment (Bohr magnetons per cell) = 0.00
- E (eV per cell) = -56.33

Lattice parameters (Å, degrees): 9.669 4.098 9.715 90.00 109.27 90.00
Space group P2_1/m (No. 11)
Asymmetric unit:
Rb1 0.202 0.250 0.235
Sm1 0.332 0.750 0.851
Be1 0.076 0.250 0.605
Se1 0.114 0.250 0.842
Se2 0.165 0.750 0.529
Se3 0.462 0.750 0.166



A relaxed structure of Rb2SmBe2Se4. Source: Alexandria, functional PBE.

Calculated values
- energy relative to the elements, uncorrected (kcal/mol of atoms) = -24.6
- total moment (Bohr magnetons per cell) = 0.00
- E (eV per cell) = -75.26

Lattice parameters (Å, degrees): 15.536 3.905 8.411 90.00 110.95 90.00
Space group C2/m (No. 12)
Asymmetric unit:
Rb1 0.130 0.000 0.042
Sm1 0.000 0.000 0.500
Be1 0.170 0.500 0.476
Se1 0.035 0.500 0.265
Se2 0.206 0.000 0.640



A relaxed structure of RbBeSnSe3. Source: Alexandria, functional PBE.

Calculated values
- energy relative to the elements, uncorrected (kcal/mol of atoms) = -16.6
- total moment (Bohr magnetons per cell) = 0.00
- E (eV per cell) = -46.94

Lattice parameters (Å, degrees): 9.647 3.898 9.940 90.00 109.17 90.00
Space group P2_1/m (No. 11)
Asymmetric unit:
Rb1 0.233 0.250 0.194
Be1 0.403 0.750 0.924
Sn1 0.136 0.250 0.660
Se1 0.158 0.750 0.872
Se2 0.168 0.750 0.463
Se3 0.477 0.250 0.837



A relaxed structure of Rb2SrBe2Se4. Source: Alexandria, functional PBE.

Calculated values
- energy relative to the elements, uncorrected (kcal/mol of atoms) = -26.9
- total moment (Bohr magnetons per cell) = 0.00
- E (eV per cell) = -71.03

Lattice parameters (Å, degrees): 16.088 4.084 8.456 90.00 113.21 90.00
Space group C2/m (No. 12)
Asymmetric unit:
Rb1 0.127 0.000 0.052
Sr1 0.000 0.000 0.500
Be1 0.175 0.500 0.463
Se1 0.036 0.500 0.268
Se2 0.212 0.000 0.636